The following is a DFT calculation (GGA+U) of a relaxed structure of Ca2TiWO6.

a = 5.497 Å, b = 5.638 Å, c = 9.501 Å
α = 90.00°, β = 124.83°, γ = 90.00°
Atoms (fractional coordinates):
Ca (0.235, 0.048, 0.249)
Ca (0.235, 0.452, 0.749)
Ca (0.765, 0.548, 0.251)
Ca (0.765, 0.952, 0.751)
Ti (0.000, 0.000, 0.500)
Ti (0.000, 0.500, 0.000)
W (0.500, 0.000, 0.000)
W (0.500, 0.500, 0.500)
O (0.143, 0.217, 0.949)
O (0.143, 0.283, 0.449)
O (0.246, 0.704, 0.953)
O (0.246, 0.796, 0.453)
O (0.337, 0.028, 0.746)
O (0.337, 0.472, 0.246)
O (0.663, 0.528, 0.754)
O (0.663, 0.972, 0.254)
O (0.754, 0.204, 0.547)
O (0.754, 0.296, 0.047)
O (0.857, 0.717, 0.551)
O (0.857, 0.783, 0.051)

Calculated values
- Magnetic moment: 2.0 μB/f.u.
- Uncorrected energy: -7.6845 eV per atom
- Energy above the lowest structure with this stoichiometry: 0 meV per atom